1.
Compound: SmNiP2Pd
Source: OQMD
Functional: PBE
Structure: relaxed

Unit cell a=5.636 b=5.636 c=5.636 alpha=138.01 beta=138.01 gamma=60.89
Element x y z (fractional)
Sm 0.000 0.000 0.000
Ni 0.750 0.250 0.500
P 0.383 0.383 0.000
P 0.617 0.617 0.000
Pd 0.250 0.750 0.500

Space group: I-4m2



2.
Compound: PmNi5P2
Source: OQMD
Functional: PBE
Structure: relaxed

Unit cell a=5.790 b=5.790 c=5.790 alpha=142.55 beta=112.27 gamma=80.05
Element x y z (fractional)
Pm 0.000 0.000 0.000
Ni 0.156 0.345 0.812
Ni 0.467 0.655 0.812
Ni 0.500 0.000 0.500
Ni 0.533 0.345 0.188
Ni 0.844 0.655 0.188
P 0.256 0.756 0.500
P 0.744 0.244 0.500

Space group: Immm



3.
Compound: PrNiP2
Source: OQMD
Functional: PBE
Structure: relaxed

Unit cell a=6.012 b=3.756 c=13.107 alpha=90.00 beta=90.00 gamma=90.00
Element x y z (fractional)
Pr 0.031 0.250 0.150
Pr 0.469 0.750 0.650
Pr 0.531 0.250 0.350
Pr 0.969 0.750 0.850
Ni 0.024 0.250 0.403
Ni 0.476 0.750 0.903
Ni 0.524 0.250 0.097
Ni 0.976 0.750 0.597
P 0.077 0.250 0.680
P 0.208 0.750 0.453
P 0.292 0.250 0.953
P 0.423 0.750 0.180
P 0.577 0.250 0.820
P 0.708 0.750 0.047
P 0.792 0.250 0.547
P 0.923 0.750 0.320

Space group: Pnma



4.
Compound: PrNiP2
Source: OQMD
Functional: PBE
Structure: relaxed

Unit cell a=3.644 b=3.644 c=12.518 alpha=90.00 beta=90.00 gamma=120.00
Element x y z (fractional)
Pr 0.000 0.000 0.250
Pr 0.000 0.000 0.750
Ni 0.000 0.000 0.000
Ni 0.000 0.000 0.500
P 0.333 0.667 0.082
P 0.333 0.667 0.418
P 0.667 0.333 0.582
P 0.667 0.333 0.918

Space group: P6_3/mmc



5.
Compound: PrNiP
Source: OQMD
Functional: PBE
Structure: relaxed

Unit cell a=3.973 b=3.973 c=8.184 alpha=90.00 beta=90.00 gamma=120.00
Element x y z (fractional)
Pr 0.000 0.000 0.000
Pr 0.000 0.000 0.500
Ni 0.333 0.667 0.250
Ni 0.667 0.333 0.750
P 0.333 0.667 0.750
P 0.667 0.333 0.250

Space group: P6_3/mmc



6.
Compound: PrNiP
Source: OQMD
Functional: PBE
Structure: relaxed

Unit cell a=3.989 b=3.989 c=16.320 alpha=90.00 beta=90.00 gamma=120.00
Element x y z (fractional)
Pr 0.000 0.000 0.000
Pr 0.000 0.000 0.250
Pr 0.000 0.000 0.500
Pr 0.000 0.000 0.750
Ni 0.333 0.667 0.124
Ni 0.333 0.667 0.376
Ni 0.667 0.333 0.624
Ni 0.667 0.333 0.876
P 0.333 0.667 0.626
P 0.333 0.667 0.874
P 0.667 0.333 0.126
P 0.667 0.333 0.374

Space group: P6_3/mmc



7.
Compound: PrNi3P2
Source: OQMD
Functional: PBE
Structure: relaxed

Unit cell a=3.893 b=3.893 c=6.637 alpha=90.00 beta=90.00 gamma=120.00
Element x y z (fractional)
Pr 0.000 0.000 0.000
Ni 0.000 0.000 0.500
Ni 0.333 0.667 0.342
Ni 0.667 0.333 0.658
P 0.333 0.667 0.700
P 0.667 0.333 0.300

Space group: P-3m1



8.
Compound: PrNi5P3
Source: OQMD
Functional: PBE
Structure: relaxed

Unit cell a=6.108 b=6.108 c=11.430 alpha=90.00 beta=90.00 gamma=145.60
Element x y z (fractional)
Pr 0.162 0.838 0.750
Pr 0.838 0.162 0.250
Ni 0.000 0.000 0.000
Ni 0.000 0.000 0.500
Ni 0.199 0.801 0.069
Ni 0.199 0.801 0.431
Ni 0.449 0.551 0.645
Ni 0.449 0.551 0.855
Ni 0.551 0.449 0.145
Ni 0.551 0.449 0.355
Ni 0.801 0.199 0.569
Ni 0.801 0.199 0.931
P 0.116 0.884 0.250
P 0.382 0.618 0.040
P 0.382 0.618 0.460
P 0.618 0.382 0.540
P 0.618 0.382 0.960
P 0.884 0.116 0.750

Space group: Cmcm



9.
Compound: Pr2Ni7P4
Source: OQMD
Functional: PBE
Structure: relaxed

Unit cell a=3.771 b=9.243 c=10.462 alpha=90.00 beta=90.00 gamma=90.00
Element x y z (fractional)
Pr 0.000 0.061 0.000
Pr 0.000 0.438 0.218
Pr 0.500 0.562 0.718
Pr 0.500 0.939 0.500
Ni 0.000 0.061 0.697
Ni 0.000 0.097 0.302
Ni 0.000 0.305 0.791
Ni 0.000 0.417 0.522
Ni 0.000 0.682 0.478
Ni 0.000 0.725 0.889
Ni 0.000 0.748 0.119
Ni 0.500 0.252 0.619
Ni 0.500 0.275 0.389
Ni 0.500 0.318 0.978
Ni 0.500 0.583 0.022
Ni 0.500 0.695 0.291
Ni 0.500 0.903 0.802
Ni 0.500 0.939 0.197
P 0.000 0.184 0.505
P 0.000 0.476 0.935
P 0.000 0.814 0.689
P 0.000 0.843 0.306
P 0.500 0.157 0.806
P 0.500 0.186 0.189
P 0.500 0.524 0.435
P 0.500 0.816 0.005

Space group: Pmn2_1



10.
Compound: PrNi5P2
Source: OQMD
Functional: PBE
Structure: relaxed

Unit cell a=5.827 b=5.827 c=5.827 alpha=142.55 beta=112.75 gamma=79.60
Element x y z (fractional)
Pr 0.000 0.000 0.000
Ni 0.155 0.343 0.812
Ni 0.469 0.657 0.812
Ni 0.500 0.000 0.500
Ni 0.531 0.343 0.188
Ni 0.845 0.657 0.188
P 0.259 0.759 0.500
P 0.741 0.241 0.500

Space group: Immm



11.
Compound: PrNi2SbP
Source: OQMD
Functional: PBE
Structure: relaxed

Unit cell a=4.293 b=4.293 c=9.664 alpha=90.00 beta=90.00 gamma=90.00
Element x y z (fractional)
Pr 0.250 0.250 0.231
Pr 0.750 0.750 0.769
Ni 0.250 0.250 0.908
Ni 0.250 0.750 0.500
Ni 0.750 0.250 0.500
Ni 0.750 0.750 0.092
Sb 0.250 0.250 0.638
Sb 0.750 0.750 0.362
P 0.250 0.750 0.000
P 0.750 0.250 0.000

Space group: P4/nmm



12.
Compound: PrSiNi2P
Source: OQMD
Functional: PBE
Structure: relaxed

Unit cell a=5.568 b=5.568 c=5.568 alpha=137.88 beta=137.88 gamma=61.09
Element x y z (fractional)
Pr 0.000 0.000 0.000
Si 0.370 0.370 0.000
Ni 0.247 0.747 0.500
Ni 0.747 0.247 0.500
P 0.626 0.626 0.000

Space group: I4mm



Looking at energy for the records above, in order, we have -6.198; -6.136; -6.157; -5.961; -6.395; -6.386; -6.205; -6.221; -6.235; -6.119; -5.911; -6.266 eV per atom.